VASP calculation (PBE) on an optimized crystal structure of LiCa2AlNi.

The space group is P4/mmm (No. 123) and the conventional cell measures 5.395, 5.395 and 4.629 Å, with angles of 90.00, 90.00 and 90.00 degrees. The distinct sites, in fractional coordinates, are Li at (0.000, 0.000, 0.000), Ca at (0.000, 0.500, 0.500), Al at (0.500, 0.500, 0.000) and Ni at (0.500, 0.500, 0.500).

The value obtained for the energy of formation is -98.7 meV per atom. The value obtained for the offset from the most stable computed form is 0.0 meV per atom. For the final energy, the calculation gives -3.1869 eV/atom. As for the density of states at the Fermi level: 0.657 states/eV/atom.